Entry 1:
# FeHg2Os GGA-PBE relaxed
# - E_tot (eV/f.u.) = -17.6
# - total magnetic moment (Bohr magnetons per cell) = 6.4
# - relative energy among the computed polymorphs (eV per atom) = 0.253
# - density (g/cm³) = 15.2
data_FeHg2Os
_space_group_name_H-M_alt 'C 1 m 1'
_space_group_IT_number 8
_space_group_name_Hall 'C -2y'
_cell_length_a 10.580
_cell_length_b 2.997
_cell_length_c 4.796
_cell_angle_alpha 90.00
_cell_angle_beta 111.61
_cell_angle_gamma 90.00
loop_
_atom_site_label
_atom_site_type_symbol
_atom_site_fract_x
_atom_site_fract_y
_atom_site_fract_z
Fe1 Fe 0.000 0.000 0.000
Hg1 Hg 0.236 0.000 0.784
Hg2 Hg 0.452 0.000 0.456
Os1 Os 0.189 0.500 0.245

***

Entry 2:
# Fe2HgOs GGA-PBE relaxed
# - E_tot (eV/f.u.) = -26.5
# - total magnetic moment (Bohr magnetons per cell) = 10.9
# - density (g/cm³) = 14.3
data_Fe2HgOs
_space_group_name_H-M_alt 'C m m m'
_space_group_IT_number 65
_space_group_name_Hall '-C 2 2'
_cell_length_a 5.574
_cell_length_b 7.629
_cell_length_c 2.754
_cell_angle_alpha 90.00
_cell_angle_beta 90.00
_cell_angle_gamma 90.00
loop_
_atom_site_label
_atom_site_type_symbol
_atom_site_fract_x
_atom_site_fract_y
_atom_site_fract_z
Fe1 Fe 0.250 0.250 0.000
Hg1 Hg 0.000 0.000 0.500
Os1 Os 0.000 0.500 0.500

***

Entry 3:
# FeHg4Os GGA-PBE relaxed
# - E_tot (eV/f.u.) = -13.9
# - total magnetic moment (Bohr magnetons per cell) = 18.3
# - density (g/cm³) = 14.2
data_FeHg4Os
_space_group_name_H-M_alt 'F -4 3 m'
_space_group_IT_number 216
_space_group_name_Hall 'F -4 2 3'
_cell_length_a 7.884
_cell_length_b 7.884
_cell_length_c 7.884
_cell_angle_alpha 90.00
_cell_angle_beta 90.00
_cell_angle_gamma 90.00
loop_
_atom_site_label
_atom_site_type_symbol
_atom_site_fract_x
_atom_site_fract_y
_atom_site_fract_z
Fe1 Fe 0.000 0.000 0.000
Hg1 Hg 0.125 0.125 0.625
Os1 Os 0.250 0.250 0.250